# Ac6Ir3S | the Alexandria database | PBE | optimized geometry
data_Ac6Ir3S
_chemical_formula_sum 'Ac12 Ir6 S2'
_cell_length_a 7.380
_cell_length_b 8.021
_cell_length_c 13.104
_cell_angle_alpha 90.00
_cell_angle_beta 121.76
_cell_angle_gamma 90.00
_space_group_name_H-M_alt 'P 1 21/c 1'
_space_group_IT_number 14
loop_
_space_group_symop_operation_xyz
'x,y,z'
'-x,-y,-z'
'-x,y+1/2,-z+1/2'
'x,-y+1/2,z+1/2'
loop_
_atom_site_label
_atom_site_fract_x
_atom_site_fract_y
_atom_site_fract_z
Ac1 0.082 0.074 0.245
Ac2 0.275 0.690 0.099
Ac3 0.386 0.170 0.058
Ir1 0.000 0.000 0.000
Ir2 0.313 0.096 0.778
S1 0.500 0.000 0.500
# * formation energy (no corrections): -0.80 eV per atom
# * spin magnetization: 0.0 Bohr magnetons per cell



# IrOs2Pb | the Alexandria database | PBE | optimized geometry
data_IrOs2Pb
_chemical_formula_sum 'Ir1 Os2 Pb1'
_cell_length_a 4.872
_cell_length_b 2.887
_cell_length_c 4.874
_cell_angle_alpha 90.00
_cell_angle_beta 106.88
_cell_angle_gamma 90.00
_space_group_name_H-M_alt 'P 1 2/m 1'
_space_group_IT_number 10
loop_
_space_group_symop_operation_xyz
'x,y,z'
'-x,-y,-z'
'-x,y,-z'
'x,-y,z'
loop_
_atom_site_label
_atom_site_fract_x
_atom_site_fract_y
_atom_site_fract_z
Ir1 0.000 0.000 0.000
Os1 0.500 0.000 0.500
Os2 0.500 0.500 0.000
Pb1 0.000 0.500 0.500
# * energy: -7.9420 eV per atom
# * spin magnetization: 0.0 Bohr magnetons per cell



# PmTm4In4 | the Alexandria database | PBE | optimized geometry
data_PmTm4In4
_chemical_formula_sum 'Pm2 Tm8 In8'
_cell_length_a 7.197
_cell_length_b 7.197
_cell_length_c 10.447
_cell_angle_alpha 90.00
_cell_angle_beta 90.00
_cell_angle_gamma 90.00
_space_group_name_H-M_alt 'P 42/n m c'
_space_group_IT_number 137
loop_
_space_group_symop_operation_xyz
'x,y,z'
'-x,-y,-z'
'-y+1/2,x,z+1/2'
'y+1/2,-x,-z+1/2'
'-x+1/2,-y+1/2,z'
'x+1/2,y+1/2,-z'
'y,-x+1/2,z+1/2'
'-y,x+1/2,-z+1/2'
'x+1/2,-y,-z'
'-x+1/2,y,z'
'-y,-x,-z+1/2'
'y,x,z+1/2'
'-x,y+1/2,-z'
'x,-y+1/2,z'
'y+1/2,x+1/2,-z+1/2'
'-y+1/2,-x+1/2,z+1/2'
loop_
_atom_site_label
_atom_site_fract_x
_atom_site_fract_y
_atom_site_fract_z
Pm1 0.250 0.750 0.250
Tm1 0.017 0.250 0.161
In1 0.038 0.250 0.459
# * energy: -3.8937 eV per atom
# * spin magnetization: 0.0 Bohr magnetons per cell